Version i
{"formula": "DyTmAu", "functional": "PBE", "state": "optimized geometry", "rho_g_cm3": 11.345, "magnetic_moment_mub_per_fu": 0.00, "n_ef_per_ev_atom": 0.983, "lattice_angstrom": [[7.0990, 0.0000, 0.0000], [0.0000, 4.9201, 0.0000], [0.0000, 0.0000, 8.8573]], "species": ["Dy", "Dy", "Dy", "Dy", "Tm", "Tm", "Tm", "Tm", "Au", "Au", "Au", "Au"], "frac_coords": [[0.0141, 0.2500, 0.1768], [0.4859, 0.7500, 0.6768], [0.5141, 0.2500, 0.3232], [0.9859, 0.7500, 0.8232], [0.1483, 0.2500, 0.5796], [0.3517, 0.7500, 0.0796], [0.6483, 0.2500, 0.9204], [0.8517, 0.7500, 0.4204], [0.2454, 0.2500, 0.9007], [0.2546, 0.7500, 0.4007], [0.7454, 0.2500, 0.5993], [0.7546, 0.7500, 0.0993]]}

***

Version ii
{"formula": "DyTmAu", "functional": "PBE", "state": "optimized geometry", "rho_g_cm3": 11.281, "magnetic_moment_mub_per_fu": 0.87, "n_ef_per_ev_atom": 1.067, "lattice_angstrom": [[-1.7839, 1.7839, 6.1102], [1.7839, -1.7839, 6.1102], [1.7839, 1.7839, -6.1102]], "species": ["Dy", "Tm", "Au"], "frac_coords": [[0.0000, 0.0000, 0.0000], [0.7095, 0.7095, 0.0000], [0.3487, 0.3487, 0.0000]]}

***

Version iii
{"formula": "DyTmAu", "functional": "PBE", "state": "optimized geometry", "rho_g_cm3": 11.251, "magnetic_moment_mub_per_fu": 0.00, "n_ef_per_ev_atom": 0.619, "lattice_angstrom": [[4.8789, 0.0000, 0.0000], [-2.4394, 4.2252, 0.0000], [0.0000, 0.0000, 3.7831]], "species": ["Dy", "Tm", "Au"], "frac_coords": [[0.0000, 0.0000, 0.0000], [0.3333, 0.6667, 0.4746], [0.6667, 0.3333, 0.7136]]}

***

The most stable arrangement is version i, and the next structure is 0.108 eV/atom less stable.

***

Version i
{"formula": "Dy2TmAu4", "functional": "PBE", "state": "optimized geometry", "rho_g_cm3": 10.489, "magnetic_moment_mub_per_fu": 0.00, "n_ef_per_ev_atom": 0.712, "lattice_angstrom": [[-2.6267, 2.6267, 7.3523], [2.6267, -2.6267, 7.3523], [2.6267, 2.6267, -7.3523]], "species": ["Dy", "Dy", "Tm", "Au", "Au", "Au", "Au"], "frac_coords": [[0.1170, 0.1170, 0.0000], [0.8830, 0.8830, 0.0000], [0.5000, 0.5000, 0.0000], [0.0000, 0.5000, 0.5000], [0.3104, 0.3104, 0.0000], [0.5000, 0.0000, 0.5000], [0.6896, 0.6896, 0.0000]]}

***

Version ii
{"formula": "Dy2TmAu4", "functional": "PBE", "state": "optimized geometry", "rho_g_cm3": 12.521, "magnetic_moment_mub_per_fu": 0.00, "n_ef_per_ev_atom": 0.750, "lattice_angstrom": [[-2.5690, 2.5690, 6.4390], [2.5690, -2.5690, 6.4390], [2.5690, 2.5690, -6.4390]], "species": ["Dy", "Dy", "Tm", "Au", "Au", "Au", "Au"], "frac_coords": [[0.2269, 0.2269, 0.0000], [0.7731, 0.7731, 0.0000], [0.5000, 0.5000, 0.0000], [0.1189, 0.6189, 0.5000], [0.3811, 0.8811, 0.5000], [0.6189, 0.1189, 0.5000], [0.8811, 0.3811, 0.5000]]}

***

The most stable arrangement is version ii, and the next structure is 0.433 eV/atom less stable.